#w
Material: LaZnFeSnO6
Method: DFT, PBE with a Hubbard U
State: optimized geometry Values from VASP.

```
&SYSTEM
  ibrav = 0, nat = 10, ntyp = 5
/
ATOMIC_SPECIES
Fe 55.84 Fe.upf
O 16.00 O.upf
Zn 65.41 Zn.upf
La 138.91 La.upf
Sn 118.71 Sn.upf
CELL_PARAMETERS angstrom
-1.8723 -5.2413 -0.9429
-3.9310 -0.9261 -3.9440
1.3723 -2.6701 -4.7805
ATOMIC_POSITIONS crystal
Fe 0.2500 0.2500 0.2500
O 0.7478 0.2522 0.7478
O 0.2522 0.2522 0.7478
O 0.7478 0.2522 0.2522
O 0.2522 0.7478 0.7478
O 0.2522 0.7478 0.2522
O 0.7478 0.7478 0.2522
Zn 0.5000 0.5000 0.5000
La 0.7500 0.7500 0.7500
Sn 0.0000 0.0000 0.0000
```

#x
Material: LaZnFeSnO6
Method: DFT, PBE with a Hubbard U
State: optimized geometry Values from VASP.

```
&SYSTEM
  ibrav = 0, nat = 20, ntyp = 5
/
ATOMIC_SPECIES
O 16.00 O.upf
Sn 118.71 Sn.upf
Zn 65.41 Zn.upf
Fe 55.84 Fe.upf
La 138.91 La.upf
CELL_PARAMETERS angstrom
5.9019 0.0000 0.0000
0.0000 5.4772 0.0366
0.0000 5.4518 7.9249
ATOMIC_POSITIONS crystal
O 0.2680 0.3313 0.7536
O 0.2778 0.6260 0.2470
O 0.4313 0.8582 0.4429
O 0.5528 0.2470 0.5527
O 0.0502 0.1375 0.5521
O 0.7320 0.3313 0.2536
O 0.9498 0.1375 0.0521
O 0.7222 0.6260 0.7470
O 0.9291 0.7397 0.4547
O 0.4472 0.2470 0.0527
O 0.5687 0.8582 0.9429
O 0.0709 0.7397 0.9547
Sn 0.2193 0.5097 0.4950
Sn 0.7807 0.5097 0.9950
Zn 0.3589 0.2759 0.2462
Zn 0.6411 0.2759 0.7462
Fe 0.7799 0.0037 0.5042
Fe 0.2201 0.0037 0.0042
La 0.6872 0.7710 0.2514
La 0.3128 0.7710 0.7514
```

#y
Material: LaZnFeSnO6
Method: DFT, PBE with a Hubbard U
State: optimized geometry Values from VASP.

```
&SYSTEM
  ibrav = 0, nat = 10, ntyp = 5
/
ATOMIC_SPECIES
O 16.00 O.upf
La 138.91 La.upf
Zn 65.41 Zn.upf
Fe 55.84 Fe.upf
Sn 118.71 Sn.upf
CELL_PARAMETERS angstrom
3.3627 -2.6066 3.7015
-0.6474 -5.5116 1.0029
3.8788 -3.6705 -1.8126
ATOMIC_POSITIONS crystal
O 0.7536 0.2464 0.7536
O 0.2464 0.7536 0.7536
O 0.2464 0.7536 0.2464
O 0.7536 0.7536 0.2464
O 0.7536 0.2464 0.2464
O 0.2464 0.2464 0.7536
La 0.2500 0.2500 0.2500
Zn 0.7500 0.7500 0.7500
Fe 0.0000 0.0000 0.0000
Sn 0.5000 0.5000 0.5000
```

#x ends up most stable, edging out the next structure by 29.8 kJ/mol of atoms.